1.
# CoAgSbRu2

A relaxed CoAgSbRu2 crystal (PBE, the Alexandria database).

Unit cell a=4.876 b=4.539 c=4.876 alpha=90.00 beta=90.00 gamma=90.00
Sites, in units of the cell vectors:
Co 0.000 0.500 0.000
Sb 0.500 0.500 0.500
Ru 0.500 0.000 0.000
Ru 0.000 0.000 0.500
Ag 0.000 0.000 0.000

total DFT energy (no corrections): -4.70 eV/atom

2.
# CoAgS2

A relaxed CoAgS2 crystal (PBE, the Alexandria database).

Unit cell a=15.165 b=5.591 c=6.090 alpha=90.00 beta=140.14 gamma=90.00
Sites, in units of the cell vectors:
Co 0.243 0.463 0.249
Co 0.743 0.037 0.749
Co 0.257 0.963 0.251
Co 0.757 0.537 0.751
S 0.114 0.717 0.822
S 0.614 0.783 0.322
S 0.762 0.768 0.046
S 0.386 0.217 0.678
S 0.262 0.732 0.546
S 0.238 0.232 0.954
S 0.738 0.268 0.454
S 0.886 0.283 0.178
Ag 0.436 0.028 0.175
Ag 0.936 0.472 0.675
Ag 0.064 0.528 0.325
Ag 0.564 0.972 0.825

total DFT energy (no corrections): -4.61 eV/atom

3.
# Co3AgS

A relaxed Co3AgS crystal (PBE, the Alexandria database).

Unit cell a=4.142 b=4.142 c=4.142 alpha=90.00 beta=90.00 gamma=90.00
Sites, in units of the cell vectors:
S 0.000 0.000 0.000
Co 0.000 0.500 0.000
Co 0.500 0.000 0.000
Co 0.000 0.000 0.500
Ag 0.500 0.500 0.500

distance to the lowest polymorph of the same formula: 0.000 eV per atom

4.
# CoAgS2

A relaxed CoAgS2 crystal (PBE, the Alexandria database).

Unit cell a=11.378 b=4.982 c=4.982 alpha=84.02 beta=126.03 gamma=53.97
Sites, in units of the cell vectors:
Ag 0.754 0.803 0.948
Ag 0.254 0.552 0.697
S 0.855 0.797 0.552
S 0.654 0.500 0.653
S 0.355 0.948 0.703
S 0.154 0.847 0.000
Co 0.254 0.127 0.123
Co 0.754 0.377 0.373

total DFT energy (no corrections): -4.58 eV/atom

Number 1: V 108 Å³/cell. Number 2: V 331 Å³/cell. Number 3: V 71 Å³/cell. Number 4: V 134 Å³/cell.